Record 1
5
Lattice="5.795 0.000 0.000 0.000 5.795 0.000 0.000 0.000 3.786" Properties=species:S:1:pos:R:3 comment="BaTl2FeC PBE optimized geometry" magmom_total_mub_per_fu=2.01 dos_at_fermi_per_ev_fu=7.0 spacegroup="P4/mmm (123)" formation_energy_ev_per_atom=0.660 pbc="T T T"
Ba 0.000 0.000 0.000
Tl 0.000 2.898 1.893
Tl 2.898 0.000 1.893
Fe 2.898 2.898 0.000
C 2.898 2.898 1.893

---

Record 2
5
Lattice="6.585 0.000 0.000 0.000 6.585 0.000 0.000 0.000 4.962" Properties=species:S:1:pos:R:3 comment="Ba2TlFeC PBE optimized geometry" magmom_total_mub_per_fu=5.12 dos_at_fermi_per_ev_fu=5.8 spacegroup="P4/mmm (123)" formation_energy_ev_per_atom=1.522 pbc="T T T"
Ba 0.000 3.293 0.000
Ba 3.293 0.000 0.000
Tl 0.000 0.000 0.000
Fe 0.000 0.000 2.481
C 3.293 3.293 2.481

---

Record 3
5
Lattice="4.750 0.000 0.000 0.000 4.750 0.000 0.000 0.000 5.410" Properties=species:S:1:pos:R:3 comment="BaZr2FeC PBE optimized geometry" magmom_total_mub_per_fu=0.00 dos_at_fermi_per_ev_fu=5.3 spacegroup="P4/mmm (123)" formation_energy_ev_per_atom=1.514 pbc="T T T"
Ba 0.000 0.000 0.000
Zr 0.000 2.375 2.705
Zr 2.375 0.000 2.705
Fe 0.000 0.000 2.705
C 2.375 2.375 0.000

---

Record 4
4
Lattice="0.000 3.856 3.856 3.856 0.000 3.856 3.856 3.856 0.000" Properties=species:S:1:pos:R:3 comment="Ba2GaC PBE optimized geometry" magmom_total_mub_per_fu=0.00 dos_at_fermi_per_ev_fu=3.6 spacegroup="Fm-3m (225)" formation_energy_ev_per_atom=0.766 pbc="T T T"
Ba 1.928 1.928 1.928
Ba 5.784 5.784 5.784
Ga 0.000 0.000 0.000
C 3.856 3.856 3.856

---

Record 5
10
Lattice="6.549 0.000 0.000 0.000 6.549 0.000 0.000 0.000 5.508" Properties=species:S:1:pos:R:3 comment="BaGa2C2 PBE optimized geometry" magmom_total_mub_per_fu=0.00 dos_at_fermi_per_ev_fu=1.1 spacegroup="P4/mbm (127)" formation_energy_ev_per_atom=0.458 pbc="T T T"
Ba 0.000 0.000 0.000
Ba 3.274 3.274 0.000
Ga 0.913 2.362 2.754
Ga 2.362 5.636 2.754
Ga 4.187 0.913 2.754
Ga 5.636 4.187 2.754
C 0.450 3.725 0.000
C 2.824 0.450 0.000
C 3.725 6.099 0.000
C 6.099 2.824 0.000

---

Record 6
5
Lattice="4.253 0.000 0.000 0.000 4.253 0.000 0.000 0.000 4.253" Properties=species:S:1:pos:R:3 comment="BaGaC3 PBE optimized geometry" magmom_total_mub_per_fu=0.00 dos_at_fermi_per_ev_fu=3.5 spacegroup="Pm-3m (221)" formation_energy_ev_per_atom=1.926 pbc="T T T"
Ba 0.000 0.000 0.000
Ga 2.127 2.127 2.127
C 0.000 2.127 2.127
C 2.127 0.000 2.127
C 2.127 2.127 0.000

---

Record 7
8
Lattice="-4.216 4.216 3.646 4.216 -4.216 3.646 4.216 4.216 -3.646" Properties=species:S:1:pos:R:3 comment="Ba2GaC PBE optimized geometry" magmom_total_mub_per_fu=0.00 dos_at_fermi_per_ev_fu=5.5 spacegroup="I-42d (122)" formation_energy_ev_per_atom=0.706 pbc="T T T"
Ba 6.324 1.383 -0.912
Ba 1.383 2.108 0.912
Ba -2.108 2.833 2.735
Ba 2.833 2.108 4.558
Ga 4.216 0.000 1.823
Ga 0.000 0.000 3.646
C 0.000 0.000 0.000
C 0.000 4.216 1.823

---

Record 8
8
Lattice="-2.373 2.373 6.424 2.373 -2.373 6.424 2.373 2.373 -6.424" Properties=species:S:1:pos:R:3 comment="BaGaC2 PBE optimized geometry" magmom_total_mub_per_fu=0.00 dos_at_fermi_per_ev_fu=1.9 spacegroup="I4_1/amd (141)" formation_energy_ev_per_atom=1.000 pbc="T T T"
Ba 2.373 1.187 1.606
Ba 0.000 1.187 4.818
Ga 2.373 -1.187 4.818
Ga 0.000 3.560 1.606
C 0.000 0.000 0.000
C 1.187 1.187 -3.212
C 1.187 -1.187 3.212
C 0.000 2.373 0.000